[1]
DFT (PBE) results for a geometry-optimized ZrTlO2 structure.

Values from the calculation:
Space group: I-42d (122)
Uncorrected formation energy in eV per atom: -2.09
Total moment in μB per cell: 0.00

abc: 6.0468 6.0468 6.5756
angles: 62.63 62.63 90.00
Atoms (fractional coordinates):
Tl: 0.0000 0.0000 0.0000
Tl: 0.7500 0.2500 0.5000
O: 0.4343 0.1250 0.2500
O: 0.3157 0.6250 0.2500
O: 0.3750 0.5657 0.7500
O: 0.8750 0.6843 0.7500
Zr: 0.5000 0.5000 0.0000
Zr: 0.2500 0.7500 0.5000

***

[2]
DFT (PBE) results for a geometry-optimized Zr3TlO structure.

Values from the calculation:
Space group: P2_1/m (11)
Uncorrected formation energy in eV per atom: -1.08
Total moment in μB per cell: 0.00

abc: 3.4017 6.1616 9.3854
angles: 90.00 90.00 105.94
Atoms (fractional coordinates):
Zr: 0.8773 0.7514 0.5297
Zr: 0.1227 0.2486 0.4703
Zr: 0.1227 0.2486 0.0297
Zr: 0.8773 0.7514 0.9703
Zr: 0.4692 0.9388 0.2500
Zr: 0.5308 0.0612 0.7500
Tl: 0.7493 0.4999 0.2500
Tl: 0.2507 0.5001 0.7500
O: 0.5000 0.0000 0.0000
O: 0.5000 0.0000 0.5000

***

[3]
DFT (PBE) results for a geometry-optimized Zr2TlO structure.

Values from the calculation:
Space group: P4/mmm (123)
Uncorrected formation energy in eV per atom: -0.81
Total moment in μB per cell: 0.09
E above lowest polymorph in eV/atom: 0.389

abc: 3.0128 3.0128 7.5566
angles: 90.00 90.00 90.00
Atoms (fractional coordinates):
Tl: 0.5000 0.5000 0.5000
O: 0.5000 0.5000 0.0000
Zr: 0.0000 0.0000 0.8066
Zr: 0.0000 0.0000 0.1934

***

[4]
DFT (PBE) results for a geometry-optimized ZrTl2O structure.

Values from the calculation:
Space group: Fm-3m (225)
Uncorrected formation energy in eV per atom: 0.39
Total moment in μB per cell: 0.00
E above lowest polymorph in eV/atom: 0.441

abc: 4.9289 4.9289 4.9289
angles: 60.00 60.00 60.00
Atoms (fractional coordinates):
Tl: 0.2500 0.2500 0.2500
Tl: 0.7500 0.7500 0.7500
O: 0.0000 0.0000 0.0000
Zr: 0.5000 0.5000 0.5000

***

[5]
DFT (PBE) results for a geometry-optimized Zr2TlO structure.

Values from the calculation:
Space group: Fm-3m (225)
Uncorrected formation energy in eV per atom: -0.15
Total moment in μB per cell: 0.00
E above lowest polymorph in eV/atom: 1.049

abc: 4.7529 4.7529 4.7529
angles: 60.00 60.00 60.00
Atoms (fractional coordinates):
Tl: 0.5000 0.5000 0.5000
O: 0.0000 0.0000 0.0000
Zr: 0.2500 0.2500 0.2500
Zr: 0.7500 0.7500 0.7500

***

[6]
DFT (PBE) results for a geometry-optimized Zr2TlO structure.

Values from the calculation:
Space group: I-42d (122)
Uncorrected formation energy in eV per atom: -1.10
Total moment in μB per cell: 0.00
E above lowest polymorph in eV/atom: 0.094

abc: 6.7224 6.7224 5.9438
angles: 55.56 55.56 90.00
Atoms (fractional coordinates):
Tl: 0.0000 0.0000 0.0000
Tl: 0.7500 0.2500 0.5000
O: 0.5000 0.5000 0.0000
O: 0.2500 0.7500 0.5000
Zr: 0.5156 0.1250 0.2500
Zr: 0.2344 0.6250 0.2500
Zr: 0.3750 0.4844 0.7500
Zr: 0.8750 0.7656 0.7500